No. 1
## BaMo2Os (PBE)

Data for BaMo2Os after structural relaxation.

a b c (Å): 4.764 4.764 4.764
angles (deg): 60.00 60.00 60.00
Fractional positions:
Os 0.750 0.750 0.750
Mo 0.000 0.000 0.000
Ba 0.500 0.500 0.500
Mo 0.250 0.250 0.250

Computed properties:
total energy	-7.42	eV/atom
E_form	496	kJ/mol of formula units
space-group type	F-43m, No. 216
total magnetic moment	0.00	μB per cell
offset from the most stable computed form	0.563	eV per atom
DOS at the Fermi energy	1.2158	states/eV/atom

=====

No. 2
## BaMoOs2 (PBE)

Data for BaMoOs2 after structural relaxation.

a b c (Å): 7.531 7.531 6.246
angles (deg): 52.92 52.92 90.00
Fractional positions:
Ba 0.000 0.000 0.000
Os 0.875 0.803 0.750
Os 0.197 0.625 0.250
Mo 0.250 0.750 0.500
Os 0.375 0.447 0.750
Os 0.553 0.125 0.250
Ba 0.750 0.250 0.500
Mo 0.500 0.500 0.000

Computed properties:
total energy	-7.60	eV/atom
E_form	464	kJ/mol of formula units
space-group type	I-42d, No. 122
total magnetic moment	0.00	μB per cell
offset from the most stable computed form	0.705	eV per atom
DOS at the Fermi energy	0.5752	states/eV/atom

=====

No. 3
## BaMo2Os (PBE)

Data for BaMo2Os after structural relaxation.

a b c (Å): 5.851 5.851 5.851
angles (deg): 149.80 125.18 63.87
Fractional positions:
Os 0.462 0.462 0.000
Mo 0.037 0.037 0.000
Mo 0.252 0.752 0.500
Ba 0.749 0.249 0.500

Computed properties:
total energy	-7.52	eV/atom
E_form	455	kJ/mol of formula units
space-group type	Imm2, No. 44
total magnetic moment	0.00	μB per cell
offset from the most stable computed form	0.458	eV per atom
DOS at the Fermi energy	0.8794	states/eV/atom

=====

No. 4
## BaMo2Os (PBE)

Data for BaMo2Os after structural relaxation.

a b c (Å): 6.052 6.052 6.052
angles (deg): 151.09 125.96 62.45
Fractional positions:
Os 0.250 0.750 0.500
Mo 0.049 0.049 0.000
Ba 0.750 0.250 0.500
Mo 0.451 0.451 0.000

Computed properties:
total energy	-7.62	eV/atom
E_form	419	kJ/mol of formula units
space-group type	Immm, No. 71
total magnetic moment	0.00	μB per cell
offset from the most stable computed form	0.363	eV per atom
DOS at the Fermi energy	1.0951	states/eV/atom

=====

No. 5
## BaMo4Os (PBE)

Data for BaMo4Os after structural relaxation.

a b c (Å): 5.416 5.416 5.416
angles (deg): 60.00 60.00 60.00
Fractional positions:
Mo 0.375 0.375 0.875
Mo 0.875 0.375 0.375
Mo 0.375 0.875 0.375
Os 0.750 0.750 0.750
Mo 0.375 0.375 0.375
Ba 0.000 0.000 0.000

Computed properties:
total energy	-8.40	eV/atom
E_form	588	kJ/mol of formula units
space-group type	F-43m, No. 216
total magnetic moment	0.00	μB per cell
DOS at the Fermi energy	1.0925	states/eV/atom

=====

No. 6
## BaMoOs2 (PBE)

Data for BaMoOs2 after structural relaxation.

a b c (Å): 5.217 5.217 2.907
angles (deg): 90.00 90.00 102.25
Fractional positions:
Mo 0.000 0.500 0.500
Os 0.500 0.500 0.000
Os 0.000 0.000 0.000
Ba 0.500 0.000 0.500

Computed properties:
total energy	-7.30	eV/atom
E_form	579	kJ/mol of formula units
space-group type	Cmmm, No. 65
total magnetic moment	0.00	μB per cell
offset from the most stable computed form	1.001	eV per atom
DOS at the Fermi energy	1.7510	states/eV/atom

=====

No. 7
## BaMo2Os (PBE)

Data for BaMo2Os after structural relaxation.

a b c (Å): 3.224 3.224 8.170
angles (deg): 90.00 90.00 90.00
Fractional positions:
Os 0.000 0.000 0.422
Mo 0.000 0.000 0.081
Ba 0.500 0.500 0.740
Mo 0.500 0.500 0.257

Computed properties:
total energy	-7.98	eV/atom
E_form	279	kJ/mol of formula units
space-group type	P4mm, No. 99
total magnetic moment	0.00	μB per cell
offset from the most stable computed form	0.000	eV per atom
DOS at the Fermi energy	0.8239	states/eV/atom

=====

No. 8
## BaMoOs2 (PBE)

Data for BaMoOs2 after structural relaxation.

a b c (Å): 4.048 2.943 7.380
angles (deg): 80.52 90.00 90.00
Fractional positions:
Ba 0.500 0.250 0.250
Os 0.000 0.000 0.913
Mo 0.500 0.750 0.750
Os 0.000 0.500 0.587

Computed properties:
total energy	-7.97	eV/atom
E_form	321	kJ/mol of formula units
space-group type	P2/m, No. 10
total magnetic moment	0.00	μB per cell
offset from the most stable computed form	0.335	eV per atom
DOS at the Fermi energy	1.2373	states/eV/atom

=====

No. 9
## BaMoOs (PBE)

Data for BaMoOs after structural relaxation.

a b c (Å): 4.689 4.689 4.689
angles (deg): 60.00 60.00 60.00
Site moments in Bohr magnetons follow the coordinates.
Fractional positions:
Ba 0.250 0.250 0.250  0.06
Os 0.500 0.500 0.500  -0.44
Mo 0.000 0.000 0.000  1.91

Computed properties:
total energy	-5.37	eV/atom
E_form	761	kJ/mol of formula units
space-group type	F-43m, No. 216
total magnetic moment	1.85	μB per cell
offset from the most stable computed form	2.011	eV per atom
DOS at the Fermi energy	1.6111	states/eV/atom

=====

No. 10
## BaMoOs (PBE)

Data for BaMoOs after structural relaxation.

a b c (Å): 6.910 6.910 3.283
angles (deg): 76.26 76.26 27.49
Fractional positions:
Ba 0.003 0.003 0.997
Mo 0.290 0.290 0.710
Os 0.707 0.707 0.293

Computed properties:
total energy	-7.35	eV/atom
E_form	187	kJ/mol of formula units
space-group type	I4mm, No. 107
total magnetic moment	0.00	μB per cell
offset from the most stable computed form	0.029	eV per atom
DOS at the Fermi energy	1.2249	states/eV/atom

=====

No. 11
## BaMo2Os (PBE)

Data for BaMo2Os after structural relaxation.

a b c (Å): 5.015 5.015 6.552
angles (deg): 76.14 76.14 36.79
Fractional positions:
Os 0.471 0.471 0.618
Mo 0.750 0.750 0.740
Ba 0.238 0.238 0.263
Mo 0.041 0.041 0.879

Computed properties:
total energy	-7.90	eV/atom
E_form	311	kJ/mol of formula units
space-group type	Cm, No. 8
total magnetic moment	0.00	μB per cell
offset from the most stable computed form	0.083	eV per atom
DOS at the Fermi energy	0.9191	states/eV/atom

=====

No. 12
## BaMoOs2 (PBE)

Data for BaMoOs2 after structural relaxation.

a b c (Å): 2.884 3.736 7.865
angles (deg): 90.00 90.00 90.00
Fractional positions:
Os 0.500 0.500 0.162
Os 0.000 0.000 0.015
Mo 0.500 0.500 0.836
Ba 0.000 0.000 0.488

Computed properties:
total energy	-8.02	eV/atom
E_form	304	kJ/mol of formula units
space-group type	Pmm2, No. 25
total magnetic moment	0.00	μB per cell
offset from the most stable computed form	0.291	eV per atom
DOS at the Fermi energy	1.1870	states/eV/atom

=====

No. 13
## BaMo2Os (PBE)

Data for BaMo2Os after structural relaxation.

a b c (Å): 5.130 5.130 6.098
angles (deg): 78.14 78.14 37.05
Fractional positions:
Mo 0.459 0.459 0.626
Ba 0.250 0.250 0.250
Os 0.750 0.750 0.750
Mo 0.041 0.041 0.874

Computed properties:
total energy	-7.94	eV/atom
E_form	297	kJ/mol of formula units
space-group type	C2/m, No. 12
total magnetic moment	0.00	μB per cell
offset from the most stable computed form	0.046	eV per atom
DOS at the Fermi energy	0.8584	states/eV/atom

=====

No. 14
## BaMoOs2 (PBE)

Data for BaMoOs2 after structural relaxation.

a b c (Å): 4.769 4.769 4.769
angles (deg): 60.00 60.00 60.00
Fractional positions:
Os 0.250 0.250 0.250
Mo 0.000 0.000 0.000
Ba 0.500 0.500 0.500
Os 0.750 0.750 0.750

Computed properties:
total energy	-7.41	eV/atom
E_form	538	kJ/mol of formula units
space-group type	Fm-3m, No. 225
total magnetic moment	0.00	μB per cell
offset from the most stable computed form	0.896	eV per atom
DOS at the Fermi energy	0.5644	states/eV/atom

=====

No. 15
## BaMo2Os (PBE)

Data for BaMo2Os after structural relaxation.

a b c (Å): 2.932 2.932 9.466
angles (deg): 90.00 90.00 90.02
Fractional positions:
Os 0.500 0.500 0.250
Mo 0.000 0.000 0.064
Mo 0.000 0.000 0.436
Ba 0.500 0.500 0.750

Computed properties:
total energy	-7.85	eV/atom
E_form	329	kJ/mol of formula units
space-group type	P4/mmm, No. 123
total magnetic moment	0.00	μB per cell
offset from the most stable computed form	0.131	eV per atom
DOS at the Fermi energy	1.2046	states/eV/atom

=====

No. 16
## BaMoOs2 (PBE)

Data for BaMoOs2 after structural relaxation.

a b c (Å): 4.756 4.756 6.874
angles (deg): 76.84 76.84 37.79
Fractional positions:
Mo 0.250 0.250 0.250
Os 0.973 0.973 0.111
Os 0.527 0.527 0.389
Ba 0.750 0.750 0.750

Computed properties:
total energy	-8.05	eV/atom
E_form	292	kJ/mol of formula units
space-group type	C2/m, No. 12
total magnetic moment	0.00	μB per cell
offset from the most stable computed form	0.260	eV per atom
DOS at the Fermi energy	1.0610	states/eV/atom

=====

No. 17
## BaMoOs2 (PBE)

Data for BaMoOs2 after structural relaxation.

a b c (Å): 3.056 4.793 5.078
angles (deg): 90.00 90.00 90.00
Fractional positions:
Ba 0.500 0.000 0.500
Os 0.000 0.000 0.000
Mo 0.000 0.500 0.500
Os 0.500 0.500 0.000

Computed properties:
total energy	-7.27	eV/atom
E_form	593	kJ/mol of formula units
space-group type	Pmmm, No. 47
total magnetic moment	0.00	μB per cell
offset from the most stable computed form	1.039	eV per atom
DOS at the Fermi energy	1.2140	states/eV/atom

=====

No. 18
## BaMo2Os (PBE)

Data for BaMo2Os after structural relaxation.

a b c (Å): 4.877 4.877 3.122
angles (deg): 90.00 90.00 90.00
Fractional positions:
Mo 0.500 0.500 0.000
Os 0.500 0.000 0.500
Ba 0.000 0.500 0.500
Mo 0.000 0.000 0.000

Computed properties:
total energy	-7.31	eV/atom
E_form	539	kJ/mol of formula units
space-group type	P4/mmm, No. 123
total magnetic moment	0.00	μB per cell
offset from the most stable computed form	0.673	eV per atom
DOS at the Fermi energy	1.0002	states/eV/atom

=====

No. 19
## BaMoOs2 (PBE)

Data for BaMoOs2 after structural relaxation.

a b c (Å): 4.157 3.012 7.127
angles (deg): 82.37 90.00 90.00
Fractional positions:
Os 0.000 0.088 0.975
Mo 0.500 0.701 0.867
Ba 0.000 0.537 0.480
Os 0.500 0.174 0.177

Computed properties:
total energy	-7.88	eV/atom
E_form	356	kJ/mol of formula units
space-group type	Pm, No. 6
total magnetic moment	0.00	μB per cell
offset from the most stable computed form	0.424	eV per atom
DOS at the Fermi energy	1.2153	states/eV/atom

=====

No. 20
## BaMoOs2 (PBE)

Data for BaMoOs2 after structural relaxation.

a b c (Å): 4.715 4.715 4.715
angles (deg): 60.00 60.00 60.00
Site moments in Bohr magnetons follow the coordinates.
Fractional positions:
Os 0.250 0.250 0.250  0.24
Ba 0.500 0.500 0.500  0.00
Mo 0.750 0.750 0.750  -0.02
Os 0.000 0.000 0.000  0.17

Computed properties:
total energy	-7.41	eV/atom
E_form	540	kJ/mol of formula units
space-group type	F-43m, No. 216
total magnetic moment	0.39	μB per cell
offset from the most stable computed form	0.900	eV per atom
DOS at the Fermi energy	1.3281	states/eV/atom

=====

No. 21
## BaMo2Os (PBE)

Data for BaMo2Os after structural relaxation.

a b c (Å): 10.514 10.514 10.514
angles (deg): 16.20 16.20 16.20
Fractional positions:
Os 0.250 0.250 0.250
Mo 0.984 0.984 0.984
Ba 0.750 0.750 0.750
Mo 0.516 0.516 0.516

Computed properties:
total energy	-7.65	eV/atom
E_form	407	kJ/mol of formula units
space-group type	R-3m, No. 166
total magnetic moment	0.00	μB per cell
offset from the most stable computed form	0.332	eV per atom
DOS at the Fermi energy	1.4577	states/eV/atom

=====

No. 22
## BaMoOs (PBE)

Data for BaMoOs after structural relaxation.

a b c (Å): 4.629 4.629 4.629
angles (deg): 60.00 60.00 60.00
Fractional positions:
Os 0.000 0.000 0.000
Mo 0.250 0.250 0.250
Ba 0.500 0.500 0.500

Computed properties:
total energy	-6.58	eV/atom
E_form	410	kJ/mol of formula units
space-group type	F-43m, No. 216
total magnetic moment	0.00	μB per cell
offset from the most stable computed form	0.800	eV per atom
DOS at the Fermi energy	0.6523	states/eV/atom

=====

No. 23
## BaMo3Os (PBE)

Data for BaMo3Os after structural relaxation.

a b c (Å): 4.934 4.934 4.934
angles (deg): 90.00 90.00 90.00
Site moments in Bohr magnetons follow the coordinates.
Fractional positions:
Mo 0.000 0.000 0.500  0.91
Mo 0.500 0.000 0.000  0.81
Mo 0.000 0.500 0.000  0.96
Ba 0.500 0.500 0.500  0.09
Os 0.000 0.000 0.000  -0.14

Computed properties:
total energy	-7.81	eV/atom
E_form	636	kJ/mol of formula units
space-group type	Pm-3m, No. 221
total magnetic moment	3.12	μB per cell
offset from the most stable computed form	0.000	eV per atom
DOS at the Fermi energy	1.2277	states/eV/atom

=====

No. 24
## BaMo2Os (PBE)

Data for BaMo2Os after structural relaxation.

a b c (Å): 5.536 5.536 2.930
angles (deg): 79.51 79.51 115.71
Fractional positions:
Ba 0.000 0.500 0.500
Mo 0.500 0.500 0.000
Mo 0.000 0.000 0.000
Os 0.500 0.000 0.500

Computed properties:
total energy	-7.35	eV/atom
E_form	524	kJ/mol of formula units
space-group type	C2/m, No. 12
total magnetic moment	0.00	μB per cell
offset from the most stable computed form	0.636	eV per atom
DOS at the Fermi energy	1.1441	states/eV/atom

=====

No. 25
## BaMoOs2 (PBE)

Data for BaMoOs2 after structural relaxation.

a b c (Å): 5.070 5.070 3.028
angles (deg): 90.00 90.00 90.00
Fractional positions:
Os 0.500 0.500 0.000
Mo 0.000 0.500 0.500
Ba 0.500 0.000 0.500
Os 0.000 0.000 0.000

Computed properties:
total energy	-7.28	eV/atom
E_form	587	kJ/mol of formula units
space-group type	P4/mmm, No. 123
total magnetic moment	0.02	μB per cell
offset from the most stable computed form	1.024	eV per atom
DOS at the Fermi energy	1.7145	states/eV/atom

=====

No. 26
## BaMo2Os (PBE)

Data for BaMo2Os after structural relaxation.

a b c (Å): 4.712 4.712 4.712
angles (deg): 60.00 60.00 60.00
Fractional positions:
Ba 0.000 0.000 0.000
Os 0.500 0.500 0.500
Mo 0.750 0.750 0.750
Mo 0.250 0.250 0.250

Computed properties:
total energy	-7.52	eV/atom
E_form	456	kJ/mol of formula units
space-group type	Fm-3m, No. 225
total magnetic moment	0.00	μB per cell
offset from the most stable computed form	0.459	eV per atom
DOS at the Fermi energy	0.6111	states/eV/atom

=====

No. 27
## BaMoOs2 (PBE)

Data for BaMoOs2 after structural relaxation.

a b c (Å): 3.148 3.148 8.098
angles (deg): 90.00 90.00 90.00
Fractional positions:
Ba 0.500 0.500 0.250
Os 0.000 0.000 0.570
Os 0.000 0.000 0.930
Mo 0.500 0.500 0.750

Computed properties:
total energy	-8.16	eV/atom
E_form	247	kJ/mol of formula units
space-group type	P4/mmm, No. 123
total magnetic moment	0.00	μB per cell
offset from the most stable computed form	0.142	eV per atom
DOS at the Fermi energy	1.2875	states/eV/atom

=====

No. 28
## BaMo3Os (PBE)

Data for BaMo3Os after structural relaxation.

a b c (Å): 4.830 4.830 4.830
angles (deg): 90.00 90.00 90.00
Fractional positions:
Mo 0.000 0.500 0.000
Mo 0.000 0.000 0.500
Mo 0.500 0.000 0.000
Ba 0.000 0.000 0.000
Os 0.500 0.500 0.500

Computed properties:
total energy	-5.54	eV/atom
E_form	1733	kJ/mol of formula units
space-group type	Pm-3m, No. 221
total magnetic moment	0.00	μB per cell
offset from the most stable computed form	2.274	eV per atom
DOS at the Fermi energy	1.8830	states/eV/atom

=====

No. 29
## BaMo2Os (PBE)

Data for BaMo2Os after structural relaxation.

a b c (Å): 2.937 2.937 9.769
angles (deg): 90.00 90.00 109.99
Fractional positions:
Ba 0.500 0.500 0.740
Mo 0.500 0.500 0.254
Os 0.000 0.000 0.456
Mo 0.000 0.000 0.049

Computed properties:
total energy	-7.78	eV/atom
E_form	357	kJ/mol of formula units
space-group type	Cmm2, No. 35
total magnetic moment	0.00	μB per cell
offset from the most stable computed form	0.204	eV per atom
DOS at the Fermi energy	1.2485	states/eV/atom

=====

No. 30
## BaMoOs2 (PBE)

Data for BaMoOs2 after structural relaxation.

a b c (Å): 5.891 5.891 5.891
angles (deg): 151.24 128.01 60.50
Fractional positions:
Ba 0.750 0.250 0.500
Os 0.469 0.469 0.000
Mo 0.250 0.750 0.500
Os 0.031 0.031 0.000

Computed properties:
total energy	-7.55	eV/atom
E_form	482	kJ/mol of formula units
space-group type	Immm, No. 71
total magnetic moment	0.00	μB per cell
offset from the most stable computed form	0.751	eV per atom
DOS at the Fermi energy	1.0535	states/eV/atom